Entry from the Alexandria database: a relaxed structure of KBeCrOs2 (GGA-PBE).

Calculated values
- total moment (μB per formula unit) = 1.046
- calculated formation energy (meV/atom) = 2083
- density of states at the Fermi level (states/eV/atom) = 1.15

Structure (CIF):
```
data_KBeCrOs2
_cell_length_a 4.4924
_cell_length_b 4.4924
_cell_length_c 5.1264
_cell_angle_alpha 90.00
_cell_angle_beta 90.00
_cell_angle_gamma 90.00
_symmetry_space_group_name_H-M 'P 4/m m m'
_symmetry_Int_Tables_number 123
_symmetry_space_group_name_Hall '-P 4 2'
loop_
_atom_site_label
_atom_site_type_symbol
_atom_site_fract_x
_atom_site_fract_y
_atom_site_fract_z
_atom_site_occupancy
K1 K 0.0000 0.0000 0.0000 1
Be1 Be 0.5000 0.5000 0.0000 1
Cr1 Cr 0.0000 0.0000 0.5000 1
Os1 Os 0.0000 0.5000 0.5000 1
```

Entry from the Alexandria database: a relaxed structure of KBeCrSe3 (GGA-PBE).

Calculated values
- energy relative to the elements, uncorrected (eV per atom) = -0.7226
- total moment (μB per formula unit) = 1.003
- density of states at the Fermi level (states/eV/atom) = 0.15

Structure (CIF):
```
data_KBeCrSe3
_cell_length_a 8.8392
_cell_length_b 3.6479
_cell_length_c 9.2447
_cell_angle_alpha 90.00
_cell_angle_beta 115.48
_cell_angle_gamma 90.00
_symmetry_space_group_name_H-M 'P 1 21/m 1'
_symmetry_Int_Tables_number 11
loop_
_symmetry_equiv_pos_as_xyz
'x,y,z'
'-x,-y,-z'
'-x,y+1/2,-z'
'x,-y+1/2,z'
loop_
_atom_site_label
_atom_site_type_symbol
_atom_site_fract_x
_atom_site_fract_y
_atom_site_fract_z
_atom_site_occupancy
K1 K 0.1919 0.2500 0.2367 1
Be1 Be 0.0860 0.2500 0.6023 1
Cr1 Cr 0.3751 0.7500 0.8874 1
Se1 Se 0.1587 0.2500 0.8606 1
Se2 Se 0.2015 0.7500 0.5469 1
Se3 Se 0.4687 0.7500 0.1674 1
```

Entry from the Alexandria database: a relaxed structure of LaBeCr4 (GGA-PBE).

Calculated values
- total moment (μB per formula unit) = 0.000
- calculated formation energy (meV/atom) = 675
- density of states at the Fermi level (states/eV/atom) = 1.52

Structure (CIF):
```
data_LaBeCr4
_cell_length_a 7.0822
_cell_length_b 7.0822
_cell_length_c 7.0822
_cell_angle_alpha 90.00
_cell_angle_beta 90.00
_cell_angle_gamma 90.00
_symmetry_space_group_name_H-M 'F -4 3 m'
_symmetry_Int_Tables_number 216
_symmetry_space_group_name_Hall 'F -4 2 3'
loop_
_atom_site_label
_atom_site_type_symbol
_atom_site_fract_x
_atom_site_fract_y
_atom_site_fract_z
_atom_site_occupancy
La1 La 0.0000 0.0000 0.0000 1
Be1 Be 0.2500 0.2500 0.2500 1
Cr1 Cr 0.1246 0.1246 0.6246 1
```

Entry from the Alexandria database: a relaxed structure of LaBeCr (GGA-PBE).

Calculated values
- total moment (μB per formula unit) = 2.772
- distance to the lowest polymorph of the same formula (meV per atom) = 0.0
- calculated formation energy (meV/atom) = 390
- density of states at the Fermi level (states/eV/atom) = 0.92

Structure (CIF):
```
data_LaBeCr
_cell_length_a 4.1433
_cell_length_b 4.1433
_cell_length_c 4.2156
_cell_angle_alpha 90.00
_cell_angle_beta 90.00
_cell_angle_gamma 120.00
_symmetry_space_group_name_H-M 'P -6 m 2'
_symmetry_Int_Tables_number 187
_symmetry_space_group_name_Hall 'P -6 2'
loop_
_atom_site_label
_atom_site_type_symbol
_atom_site_fract_x
_atom_site_fract_y
_atom_site_fract_z
_atom_site_occupancy
La1 La 0.0000 0.0000 0.0000 1
Be1 Be 0.3333 0.6667 0.5000 1
Cr1 Cr 0.6667 0.3333 0.5000 1
```

Entry from the Alexandria database: a relaxed structure of LaBeCr (GGA-PBE).

Calculated values
- total moment (μB per formula unit) = 3.557
- distance to the lowest polymorph of the same formula (meV per atom) = 850.4
- calculated formation energy (meV/atom) = 1240
- density of states at the Fermi level (states/eV/atom) = 0.67

Structure (CIF):
```
data_LaBeCr
_cell_length_a 6.7393
_cell_length_b 6.7393
_cell_length_c 6.7393
_cell_angle_alpha 90.00
_cell_angle_beta 90.00
_cell_angle_gamma 90.00
_symmetry_space_group_name_H-M 'F -4 3 m'
_symmetry_Int_Tables_number 216
_symmetry_space_group_name_Hall 'F -4 2 3'
loop_
_atom_site_label
_atom_site_type_symbol
_atom_site_fract_x
_atom_site_fract_y
_atom_site_fract_z
_atom_site_occupancy
La1 La 0.0000 0.0000 0.0000 1
Be1 Be 0.2500 0.2500 0.2500 1
Cr1 Cr 0.2500 0.2500 0.7500 1
```

Entry from the Alexandria database: a relaxed structure of LaBeCr2 (GGA-PBE).

Calculated values
- total moment (μB per formula unit) = 0.647
- calculated formation energy (meV/atom) = 713
- density of states at the Fermi level (states/eV/atom) = 0.68

Structure (CIF):
```
data_LaBeCr2
_cell_length_a 3.2338
_cell_length_b 4.5909
_cell_length_c 4.7832
_cell_angle_alpha 90.00
_cell_angle_beta 90.00
_cell_angle_gamma 90.00
_symmetry_space_group_name_H-M 'P m m m'
_symmetry_Int_Tables_number 47
loop_
_symmetry_equiv_pos_as_xyz
'x,y,z'
'-x,-y,-z'
'-x,-y,z'
'x,y,-z'
'x,-y,-z'
'-x,y,z'
'-x,y,-z'
'x,-y,z'
loop_
_atom_site_label
_atom_site_type_symbol
_atom_site_fract_x
_atom_site_fract_y
_atom_site_fract_z
_atom_site_occupancy
La1 La 0.0000 0.0000 0.0000 1
Be1 Be 0.5000 0.0000 0.5000 1
Cr1 Cr 0.0000 0.5000 0.5000 1
Cr2 Cr 0.5000 0.5000 0.0000 1
```

Entry from the Alexandria database: a relaxed structure of LaBeCr2 (GGA-PBE).

Calculated values
- total moment (μB per formula unit) = 0.061
- calculated formation energy (meV/atom) = 339
- density of states at the Fermi level (states/eV/atom) = 1.07

Structure (CIF):
```
data_LaBeCr2
_cell_length_a 3.0383
_cell_length_b 3.0383
_cell_length_c 7.1169
_cell_angle_alpha 90.00
_cell_angle_beta 90.00
_cell_angle_gamma 90.00
_symmetry_space_group_name_H-M 'P 4 m m'
_symmetry_Int_Tables_number 99
loop_
_symmetry_equiv_pos_as_xyz
'x,y,z'
'-y,x,z'
'-x,-y,z'
'y,-x,z'
'-x,y,z'
'y,x,z'
'x,-y,z'
'-y,-x,z'
loop_
_atom_site_label
_atom_site_type_symbol
_atom_site_fract_x
_atom_site_fract_y
_atom_site_fract_z
_atom_site_occupancy
La1 La 0.0000 0.0000 0.0000 1
Be1 Be 0.5000 0.5000 0.3252 1
Cr1 Cr 0.0000 0.0000 0.4976 1
Cr2 Cr 0.5000 0.5000 0.6579 1
```

Entry from the Alexandria database: a relaxed structure of LaBeCr2 (GGA-PBE).

Calculated values
- total moment (μB per formula unit) = 0.005
- calculated formation energy (meV/atom) = 767
- density of states at the Fermi level (states/eV/atom) = 1.29

Structure (CIF):
```
data_LaBeCr2
_cell_length_a 4.1535
_cell_length_b 4.1535
_cell_length_c 17.1494
_cell_angle_alpha 90.00
_cell_angle_beta 90.00
_cell_angle_gamma 90.00
_symmetry_space_group_name_H-M 'I -4 2 d'
_symmetry_Int_Tables_number 122
_symmetry_space_group_name_Hall 'I -4 2bw'
loop_
_atom_site_label
_atom_site_type_symbol
_atom_site_fract_x
_atom_site_fract_y
_atom_site_fract_z
_atom_site_occupancy
La1 La 0.0000 0.0000 0.0000 1
Be1 Be 0.0000 0.0000 0.5000 1
Cr1 Cr 0.0662 0.2500 0.6250 1
```

Entry from the Alexandria database: a relaxed structure of LaBeCr2 (GGA-PBE).

Calculated values
- total moment (μB per formula unit) = 0.002
- calculated formation energy (meV/atom) = 875
- density of states at the Fermi level (states/eV/atom) = 1.04

Structure (CIF):
```
data_LaBeCr2
_cell_length_a 5.3116
_cell_length_b 8.7226
_cell_length_c 3.0572
_cell_angle_alpha 90.00
_cell_angle_beta 121.19
_cell_angle_gamma 90.00
_symmetry_space_group_name_H-M 'C 1 2/m 1'
_symmetry_Int_Tables_number 12
loop_
_symmetry_equiv_pos_as_xyz
'x,y,z'
'-x,-y,-z'
'-x,y,-z'
'x,-y,z'
'x+1/2,y+1/2,z'
'-x+1/2,-y+1/2,-z'
'-x+1/2,y+1/2,-z'
'x+1/2,-y+1/2,z'
loop_
_atom_site_label
_atom_site_type_symbol
_atom_site_fract_x
_atom_site_fract_y
_atom_site_fract_z
_atom_site_occupancy
La1 La 0.0000 0.0000 0.0000 1
Be1 Be 0.0000 0.5000 0.0000 1
Cr1 Cr 0.2500 0.2500 0.5000 1
```

Entry from the Alexandria database: a relaxed structure of LaBeCr2 (GGA-PBE).

Calculated values
- total moment (μB per formula unit) = 0.105
- calculated formation energy (meV/atom) = 424
- density of states at the Fermi level (states/eV/atom) = 0.92

Structure (CIF):
```
data_LaBeCr2
_cell_length_a 3.7616
_cell_length_b 3.1617
_cell_length_c 12.0975
_cell_angle_alpha 90.00
_cell_angle_beta 90.00
_cell_angle_gamma 90.00
_symmetry_space_group_name_H-M 'A m m 2'
_symmetry_Int_Tables_number 38
loop_
_symmetry_equiv_pos_as_xyz
'x,y,z'
'-x,-y,z'
'-x,y,z'
'x,-y,z'
'x,y+1/2,z+1/2'
'-x,-y+1/2,z+1/2'
'-x,y+1/2,z+1/2'
'x,-y+1/2,z+1/2'
loop_
_atom_site_label
_atom_site_type_symbol
_atom_site_fract_x
_atom_site_fract_y
_atom_site_fract_z
_atom_site_occupancy
La1 La 0.0000 0.0000 0.0000 1
Be1 Be 0.5000 0.0000 0.6341 1
Cr1 Cr 0.0000 0.0000 0.7479 1
Cr2 Cr 0.5000 0.0000 0.2764 1
```

Entry from the Alexandria database: a relaxed structure of LaBeCr2 (GGA-PBE).

Calculated values
- total moment (μB per formula unit) = 0.000
- calculated formation energy (meV/atom) = 572
- density of states at the Fermi level (states/eV/atom) = 1.05

Structure (CIF):
```
data_LaBeCr2
_cell_length_a 3.1737
_cell_length_b 4.1197
_cell_length_c 5.3837
_cell_angle_alpha 90.00
_cell_angle_beta 101.11
_cell_angle_gamma 90.00
_symmetry_space_group_name_H-M 'P 1 2/m 1'
_symmetry_Int_Tables_number 10
loop_
_symmetry_equiv_pos_as_xyz
'x,y,z'
'-x,-y,-z'
'-x,y,-z'
'x,-y,z'
loop_
_atom_site_label
_atom_site_type_symbol
_atom_site_fract_x
_atom_site_fract_y
_atom_site_fract_z
_atom_site_occupancy
La1 La 0.0000 0.0000 0.0000 1
Be1 Be 0.5000 0.0000 0.5000 1
Cr1 Cr 0.3113 0.5000 0.6433 1
```

Entry from the Alexandria database: a relaxed structure of LaBe3Cr (GGA-PBE).

Calculated values
- total moment (μB per formula unit) = 4.321
- distance to the lowest polymorph of the same formula (meV per atom) = 1666.5
- calculated formation energy (meV/atom) = 2148
- density of states at the Fermi level (states/eV/atom) = 0.81

Structure (CIF):
```
data_LaBe3Cr
_cell_length_a 4.8973
_cell_length_b 4.8973
_cell_length_c 4.8973
_cell_angle_alpha 90.00
_cell_angle_beta 90.00
_cell_angle_gamma 90.00
_symmetry_space_group_name_H-M 'P m -3 m'
_symmetry_Int_Tables_number 221
_symmetry_space_group_name_Hall '-P 4 2 3'
loop_
_atom_site_label
_atom_site_type_symbol
_atom_site_fract_x
_atom_site_fract_y
_atom_site_fract_z
_atom_site_occupancy
La1 La 0.0000 0.0000 0.0000 1
Be1 Be 0.0000 0.0000 0.5000 1
Cr1 Cr 0.5000 0.5000 0.5000 1
```